Entry 1:
This record from Alexandria describes a relaxed structure of KTlSi2. The functional is GGA-PBE.

Formation energy without anion corrections in eV per atom: 0.622
ΔE to the lowest computed polymorph in kJ/mol of atoms: 49.3

Unit cell a=4.4280 b=4.4413 c=10.0117 alpha=90.00 beta=90.00 gamma=90.00
With the nearest neighbours (Å) after each atom.
Space group Immm (No. 71)
Symmetry-distinct sites (fractional):
K1 0.0000 0.0000 0.0000 x2  4 Tl 3.14, 8 Si 3.34-3.35
Tl1 0.0000 0.0000 0.5000 x2  4 K 3.14, 8 Si 3.34-3.35
Si1 0.0000 0.5000 0.2495 x4  4 Si 3.14, 4 Tl 3.34-3.35, 4 K 3.34-3.35

---

Entry 2:
This record from Alexandria describes a relaxed structure of LiCaMoRu2. The functional is GGA-PBE.

Formation energy in kJ per mole of atoms: 176.31

Unit cell a=4.7317 b=4.7317 c=3.7702 alpha=90.00 beta=90.00 gamma=90.00
With the nearest neighbours (Å) after each atom.
Space group P4/mmm (No. 123)
Symmetry-distinct sites (fractional):
Li1 0.0000 0.0000 0.0000 x1  2 Ca 1.89
Ca1 0.0000 0.0000 0.5000 x1  2 Li 1.89
Mo1 0.5000 0.5000 0.0000 x1  8 Ru 3.03, 4 Li 3.35
Ru1 0.0000 0.5000 0.5000 x2  2 Ca 2.37